Below is crystalline CaCuSbPd at its relaxed geometry, with properties calculated at the GGA-PBE level.

space-group type: No. 216
raw formation energy: -462 meV/atom
E: -4.32 eV/atom
size of the total moment: 0.0 μB per cell

a b c (Å): 4.783 4.783 4.783
angles (deg): 60.00 60.00 60.00
Sites, in units of the cell vectors:
Sb1 0.500 0.500 0.500
Ca1 0.000 0.000 0.000
Pd1 0.750 0.750 0.750
Cu1 0.250 0.250 0.250